# 1
Material: CaReSiTe2
Method: DFT, SCAN
State: single point on PBEsol structure

Properties
Mass density (g cm⁻³): 6.28
Crystal system: tetragonal
Total magnetization (μB/f.u.): 1.38
Volume (Å³ per cell): 134.7
E (eV for the cell shown): -164.7

Cell: 5.4586 5.4586 4.5214 Å, 90.00 90.00 90.00°
With the nearest neighbours (Å) after each atom.
Fractional positions:
Ca 0.0000 0.0000 0.0000  8 Te 3.54, 4 Si 3.86
Re 0.5000 0.5000 0.5000  2 Si 2.26
Si 0.5000 0.5000 0.0000  2 Re 2.26
Te 0.0000 0.5000 0.5000  2 Re 2.73
Te 0.5000 0.0000 0.5000  2 Re 2.73

# 2
Material: ZrZnTeI2
Method: DFT, SCAN
State: single point on PBEsol structure

Properties
Mass density (g cm⁻³): 6.10
Crystal system: tetragonal
Total magnetization (μB/f.u.): 1.74
Volume (Å³ per cell): 146.5
E (eV for the cell shown): -153.4

Cell: 5.2437 5.2437 5.3291 Å, 90.00 90.00 90.00°
With the nearest neighbours (Å) after each atom.
Fractional positions:
Zr 0.0000 0.0000 0.0000  4 Te 3.71, 8 I 3.74
Zn 0.5000 0.5000 0.5000  4 I 2.62, 2 Te 2.66
Te 0.5000 0.5000 0.0000  2 Zn 2.66
I 0.0000 0.5000 0.5000  2 Zn 2.62
I 0.5000 0.0000 0.5000  2 Zn 2.62

# 3
Material: MnInGaFe2
Method: DFT, SCAN
State: single point on PBEsol structure

Properties
Energy of formation from the pure elements (meV/atom): 1070
Mass density (g cm⁻³): 6.77
Crystal system: tetragonal
Total magnetization (μB/f.u.): 3.60
Volume (Å³ per cell): 86.1
E (eV for the cell shown): -98.9

Cell: 4.2091 4.2091 4.8607 Å, 90.00 90.00 90.00°
With the nearest neighbours (Å) after each atom.
Fractional positions:
Mn 0.0000 0.0000 0.0000  4 Fe 2.10
In 0.0000 0.0000 0.5000  2 Mn 2.43
Ga 0.5000 0.5000 0.5000  4 In 2.98, 8 Fe 3.21
Fe 0.0000 0.5000 0.0000  2 Mn 2.10
Fe 0.5000 0.0000 0.0000  2 Mn 2.10

# 4
Material: Dy6Al7Cu16
Method: DFT, SCAN
State: single point on PBEsol structure

Properties
Energy of formation from the pure elements (meV/atom): -450
Mass density (g cm⁻³): 8.08
Crystal system: cubic
Total magnetization (μB/f.u.): 0.00
Volume (Å³ per cell): 448.2
E (eV for the cell shown): -597.3

Cell: 8.5898 8.5898 8.5898 Å, 60.00 60.00 60.00°
With the nearest neighbours (Å) after each atom.
Fractional positions:
Dy 0.2126 0.2126 0.7874  8 Cu 2.90-3.02, 4 Al 3.07
Dy 0.2126 0.7874 0.2126  8 Cu 2.90-3.02, 4 Al 3.07
Dy 0.2126 0.7874 0.7874  8 Cu 2.90-3.02, 4 Al 3.07
Dy 0.7874 0.2126 0.2126  8 Cu 2.90-3.02, 4 Al 3.07
Dy 0.7874 0.2126 0.7874  8 Cu 2.90-3.02, 4 Al 3.07
Dy 0.7874 0.7874 0.2126  8 Cu 2.90-3.02, 4 Al 3.07
Al 0.0000 0.0000 0.5000  8 Cu 2.48-2.65
Al 0.0000 0.5000 0.0000  8 Cu 2.48-2.65
Al 0.0000 0.5000 0.5000  8 Cu 2.48-2.65
Al 0.5000 0.0000 0.0000  8 Cu 2.48-2.65
Al 0.5000 0.0000 0.5000  8 Cu 2.48-2.65
Al 0.5000 0.5000 0.0000  8 Cu 2.48-2.65
Al 0.5000 0.5000 0.5000  8 Cu 2.56
Cu 0.1344 0.6219 0.6219  4 Al 2.56-2.65, 3 Cu 2.64
Cu 0.1738 0.1738 0.1738  3 Al 2.48, 6 Cu 2.62-2.64
Cu 0.1738 0.1738 0.4786  3 Al 2.48, 6 Cu 2.62-2.64
Cu 0.1738 0.4786 0.1738  3 Al 2.48, 6 Cu 2.62-2.64
Cu 0.3781 0.3781 0.3781  4 Al 2.56-2.65, 3 Cu 2.64
Cu 0.3781 0.3781 0.8656  4 Al 2.56-2.65, 3 Cu 2.64
Cu 0.3781 0.8656 0.3781  4 Al 2.56-2.65, 3 Cu 2.64
Cu 0.4786 0.1738 0.1738  3 Al 2.48, 6 Cu 2.62-2.64
Cu 0.5214 0.8262 0.8262  3 Al 2.48, 6 Cu 2.62-2.64
Cu 0.6219 0.1344 0.6219  4 Al 2.56-2.65, 3 Cu 2.64
Cu 0.6219 0.6219 0.1344  4 Al 2.56-2.65, 3 Cu 2.64
Cu 0.6219 0.6219 0.6219  4 Al 2.56-2.65, 3 Cu 2.64
Cu 0.8262 0.5214 0.8262  3 Al 2.48, 6 Cu 2.62-2.64
Cu 0.8262 0.8262 0.5214  3 Al 2.48, 6 Cu 2.62-2.64
Cu 0.8262 0.8262 0.8262  3 Al 2.48, 6 Cu 2.62-2.64
Cu 0.8656 0.3781 0.3781  4 Al 2.56-2.65, 3 Cu 2.64

# 5
Material: NiRu3
Method: DFT, SCAN
State: single point on PBEsol structure

Properties
Energy of formation from the pure elements (meV/atom): 109
Mass density (g cm⁻³): 11.85
Crystal system: orthorhombic
Total magnetization (μB/f.u.): 0.00
Volume (Å³ per cell): 50.7
E (eV for the cell shown): -120.2

Cell: 2.6802 4.1581 4.5509 Å, 90.00 90.00 90.00°
With the nearest neighbours (Å) after each atom.
Fractional positions:
Ni 0.0000 0.0000 0.0000  10 Ru 2.55-2.64, 2 Ni 2.68
Ru 0.0000 0.5000 0.3240  2 Ni 2.55, 10 Ru 2.57-2.71
Ru 0.5000 0.0000 0.5009  8 Ru 2.59-2.68, 4 Ni 2.64
Ru 0.5000 0.5000 0.8417  8 Ru 2.57-2.71, 4 Ni 2.58

# 6
Material: CaCo3S
Method: DFT, SCAN
State: single point on PBEsol structure

Properties
Mass density (g cm⁻³): 5.70
Crystal system: cubic
Total magnetization (μB/f.u.): 3.30
Volume (Å³ per cell): 72.5
E (eV for the cell shown): -71.3

Cell: 4.1698 4.1698 4.1698 Å, 90.00 90.00 90.00°
With the nearest neighbours (Å) after each atom.
Fractional positions:
Ca 0.0000 0.0000 0.0000  12 Co 2.95
Co 0.0000 0.5000 0.5000  2 S 2.08
Co 0.5000 0.0000 0.5000  2 S 2.08
Co 0.5000 0.5000 0.0000  2 S 2.08
S 0.5000 0.5000 0.5000  6 Co 2.08

# 7
Material: La3MoF
Method: DFT, SCAN
State: single point on PBEsol structure

Properties
Mass density (g cm⁻³): 5.50
Crystal system: cubic
Total magnetization (μB/f.u.): 0.01
Volume (Å³ per cell): 160.5
E (eV for the cell shown): -168.5

Cell: 5.4341 5.4341 5.4341 Å, 90.00 90.00 90.00°
With the nearest neighbours (Å) after each atom.
Fractional positions:
La 0.0000 0.0000 0.5000  2 Mo 2.72
La 0.0000 0.5000 0.0000  2 Mo 2.72
La 0.5000 0.0000 0.0000  2 Mo 2.72
Mo 0.0000 0.0000 0.0000  6 La 2.72
F 0.5000 0.5000 0.5000  12 La 3.84

# 8
Material: CuTcPt2
Method: DFT, SCAN
State: single point on PBEsol structure

Properties
Energy of formation from the pure elements (meV/atom): -69
Mass density (g cm⁻³): 16.58
Crystal system: tetragonal
Total magnetization (μB/f.u.): 0.00
Volume (Å³ per cell): 55.3
E (eV for the cell shown): -190.9

Cell: 2.7071 2.7071 7.5422 Å, 90.00 90.00 90.00°
With the nearest neighbours (Å) after each atom.
Fractional positions:
Cu 0.0000 0.0000 0.0000  4 Pt 2.62, 4 Tc 2.64, 4 Cu 2.71
Tc 0.5000 0.5000 0.7585  4 Cu 2.64, 4 Pt 2.66, 4 Tc 2.71
Pt 0.0000 0.0000 0.5131  4 Tc 2.66, 8 Pt 2.71-2.83
Pt 0.5000 0.5000 0.2369  4 Cu 2.62, 8 Pt 2.71-2.83

# 9
Material: HfRuN2
Method: DFT, SCAN
State: single point on PBEsol structure

Properties
Mass density (g cm⁻³): 9.69
Crystal system: trigonal
Total magnetization (μB/f.u.): 2.25
Volume (Å³ per cell): 52.7
E (eV for the cell shown): -118.5

Cell: 6.2830 6.2830 6.2830 Å, 29.34 29.34 29.34°
With the nearest neighbours (Å) after each atom.
Fractional positions:
Hf 0.0000 0.0000 0.0000  6 N 2.14
Ru 0.5000 0.5000 0.5000  2 N 1.90
N 0.3946 0.3946 0.3946  1 Ru 1.90
N 0.6054 0.6054 0.6054  1 Ru 1.90

# 10
Material: BaPt2Br
Method: DFT, SCAN
State: single point on PBEsol structure

Properties
Mass density (g cm⁻³): 9.60
Crystal system: monoclinic
Total magnetization (μB/f.u.): 0.00
Volume (Å³ per cell): 105.1
E (eV for the cell shown): -202.1

Cell: 3.7515 3.6319 7.9116 Å, 90.00 102.88 90.00°
With the nearest neighbours (Å) after each atom.
Fractional positions:
Ba 0.0000 0.0000 0.0000  4 Pt 3.10-3.34, 4 Br 3.18
Pt 0.3495 0.0000 0.6796  4 Pt 2.63
Pt 0.8295 0.5000 0.6368  4 Pt 2.63
Br 0.6103 0.5000 0.2349  1 Pt 3.10, 4 Ba 3.18

# 11
Material: YSiPt2
Method: DFT, SCAN
State: single point on PBEsol structure

Properties
Mass density (g cm⁻³): 10.95
Crystal system: orthorhombic
Total magnetization (μB/f.u.): 0.00
Volume (Å³ per cell): 76.9
E (eV for the cell shown): -182.8

Cell: 3.6074 4.4458 4.7942 Å, 90.00 90.00 90.00°
With the nearest neighbours (Å) after each atom.
Fractional positions:
Y 0.0000 0.0000 0.0000  8 Pt 2.96-3.01, 4 Si 3.27
Si 0.5000 0.5000 0.6706  4 Pt 2.32-2.47
Pt 0.5000 0.0000 0.5024  2 Si 2.36
Pt 0.5000 0.5000 0.1556  2 Si 2.32-2.47

# 12
Material: Pr3Er
Method: DFT, SCAN
State: single point on PBEsol structure

Properties
Energy of formation from the pure elements (meV/atom): 17
Mass density (g cm⁻³): 7.54
Crystal system: tetragonal
Total magnetization (μB/f.u.): 0.00
Volume (Å³ per cell): 130.0
E (eV for the cell shown): -180.2

Cell: 6.1999 6.1999 6.1999 Å, 131.75 131.75 70.62°
With the nearest neighbours (Å) after each atom.
Fractional positions:
Pr 0.0000 0.0000 0.0000  8 Pr 3.58, 4 Er 3.58
Pr 0.2500 0.7500 0.5000  4 Er 3.58, 8 Pr 3.58
Pr 0.7500 0.2500 0.5000  4 Er 3.58, 8 Pr 3.58
Er 0.5000 0.5000 0.0000  12 Pr 3.58

# 13
Material: LaAgMo
Method: DFT, SCAN
State: single point on PBEsol structure

Properties
Energy of formation from the pure elements (meV/atom): 542
Mass density (g cm⁻³): 9.53
Crystal system: tetragonal
Total magnetization (μB/f.u.): 0.00
Volume (Å³ per cell): 59.7
E (eV for the cell shown): -107.7

Cell: 7.4584 7.4584 7.4584 Å, 157.70 157.70 31.75°
With the nearest neighbours (Å) after each atom.
Fractional positions:
La 0.0000 0.0000 0.0000  4 La 2.88
Ag 0.3160 0.3160 0.0000  4 Mo 2.85, 4 Ag 2.88
Mo 0.6773 0.6773 0.0000  4 Ag 2.85, 4 Mo 2.88

# 14
Material: Ag3BiRu
Method: DFT, SCAN
State: single point on PBEsol structure

Properties
Energy of formation from the pure elements (meV/atom): 1189
Mass density (g cm⁻³): 8.96
Crystal system: cubic
Total magnetization (μB/f.u.): 2.33
Volume (Å³ per cell): 117.4
E (eV for the cell shown): -201.6

Cell: 4.8962 4.8962 4.8962 Å, 90.00 90.00 90.00°
With the nearest neighbours (Å) after each atom.
Fractional positions:
Ag 0.0000 0.0000 0.5000  2 Ru 2.45
Ag 0.0000 0.5000 0.0000  2 Ru 2.45
Ag 0.5000 0.0000 0.0000  2 Ru 2.45
Bi 0.5000 0.5000 0.5000  12 Ag 3.46
Ru 0.0000 0.0000 0.0000  6 Ag 2.45

# 15
Material: NiPt3Rh
Method: DFT, SCAN
State: single point on PBEsol structure

Properties
Energy of formation from the pure elements (meV/atom): 1279
Mass density (g cm⁻³): 14.45
Crystal system: cubic
Total magnetization (μB/f.u.): 2.03
Volume (Å³ per cell): 85.9
E (eV for the cell shown): -254.1

Cell: 4.4115 4.4115 4.4115 Å, 90.00 90.00 90.00°
With the nearest neighbours (Å) after each atom.
Fractional positions:
Ni 0.0000 0.0000 0.0000  6 Pt 2.21
Pt 0.0000 0.0000 0.5000  2 Ni 2.21
Pt 0.0000 0.5000 0.0000  2 Ni 2.21
Pt 0.5000 0.0000 0.0000  2 Ni 2.21
Rh 0.5000 0.5000 0.5000  12 Pt 3.12

# 16
Material: Mg2TiSe
Method: DFT, SCAN
State: single point on PBEsol structure

Properties
Mass density (g cm⁻³): 3.57
Crystal system: tetragonal
Total magnetization (μB/f.u.): 0.00
Volume (Å³ per cell): 163.2
E (eV for the cell shown): -92.8

Cell: 6.1707 6.1707 6.1707 Å, 100.30 100.30 129.97°
With the nearest neighbours (Å) after each atom.
Fractional positions:
Mg 0.0775 0.1250 0.4525  2 Se 2.63, 2 Mg 2.72
Mg 0.3750 0.9225 0.0475  2 Se 2.63, 2 Mg 2.72
Mg 0.6725 0.6250 0.5475  2 Se 2.63, 2 Mg 2.72
Mg 0.8750 0.3275 0.9525  2 Se 2.63, 2 Mg 2.72
Ti 0.2500 0.7500 0.5000  2 Se 2.61
Ti 0.5000 0.5000 0.0000  2 Se 2.61
Se 0.0000 0.0000 0.0000  2 Ti 2.61, 4 Mg 2.63
Se 0.7500 0.2500 0.5000  2 Ti 2.61, 4 Mg 2.63

# 17
Material: KRb2BaBe
Method: DFT, SCAN
State: single point on PBEsol structure

Properties
Energy of formation from the pure elements (meV/atom): 1057
Mass density (g cm⁻³): 1.47
Crystal system: tetragonal
Total magnetization (μB/f.u.): 0.32
Volume (Å³ per cell): 402.0
E (eV for the cell shown): -88.4

Cell: 7.1595 7.1595 7.8419 Å, 90.00 90.00 90.00°
With the nearest neighbours (Å) after each atom.
Fractional positions:
K 0.0000 0.0000 0.0000  4 Rb 3.58, 2 Ba 3.92
Rb 0.0000 0.5000 0.0000  2 K 3.58
Rb 0.5000 0.0000 0.0000  2 K 3.58
Ba 0.0000 0.0000 0.5000  2 K 3.92
Be 0.5000 0.5000 0.5000  4 Ba 5.06, 8 Rb 5.31

# 18
Material: Ru5Rh
Method: DFT, SCAN
State: single point on PBEsol structure

Properties
Energy of formation from the pure elements (meV/atom): -1
Mass density (g cm⁻³): 12.68
Crystal system: orthorhombic
Total magnetization (μB/f.u.): 0.00
Volume (Å³ per cell): 79.7
E (eV for the cell shown): -207.9

Cell: 4.2474 7.1102 7.1102 Å, 21.78 90.00 90.00°
With the nearest neighbours (Å) after each atom.
Fractional positions:
Ru 0.0000 0.0000 0.0000  4 Rh 2.63, 8 Ru 2.64-2.70
Ru 0.0000 0.3324 0.3324  10 Ru 2.64-2.70, 2 Rh 2.64
Ru 0.0000 0.6665 0.6665  12 Ru 2.61-2.69
Ru 0.5000 0.1120 0.1120  10 Ru 2.63-2.69, 2 Rh 2.70
Ru 0.5000 0.7755 0.7755  10 Ru 2.61-2.69, 2 Rh 2.71
Rh 0.5000 0.4444 0.4444  10 Ru 2.63-2.71, 2 Rh 2.69

# 19
Material: Li2Cu
Method: DFT, SCAN
State: single point on PBEsol structure

Properties
Energy of formation from the pure elements (meV/atom): 3
Mass density (g cm⁻³): 3.20
Crystal system: orthorhombic
Total magnetization (μB/f.u.): 0.00
Volume (Å³ per cell): 80.4
E (eV for the cell shown): -39.9

Cell: 7.2608 7.2608 4.4380 Å, 90.00 90.00 159.91°
With the nearest neighbours (Å) after each atom.
Fractional positions:
Li 0.0483 0.9517 0.7500  6 Li 2.53-2.75, 6 Cu 2.69-2.74
Li 0.2812 0.7188 0.2500  8 Li 2.53-2.75, 4 Cu 2.65-2.66
Li 0.7188 0.2812 0.7500  8 Li 2.53-2.75, 4 Cu 2.65-2.66
Li 0.9517 0.0483 0.2500  6 Li 2.53-2.75, 6 Cu 2.69-2.74
Cu 0.3822 0.6178 0.7500  2 Cu 2.53, 10 Li 2.65-2.74
Cu 0.6178 0.3822 0.2500  2 Cu 2.53, 10 Li 2.65-2.74

# 20
Material: CeGaAg
Method: DFT, SCAN
State: single point on PBEsol structure

Properties
Energy of formation from the pure elements (meV/atom): -440
Mass density (g cm⁻³): 8.64
Crystal system: monoclinic
Total magnetization (μB/f.u.): 0.91
Volume (Å³ per cell): 122.2
E (eV for the cell shown): -187.2

Cell: 5.6185 5.6185 6.4676 Å, 124.07 124.07 49.47°
With the nearest neighbours (Å) after each atom.
Fractional positions:
Ce 0.0099 0.0099 0.2919  1 Ce 2.82, 5 Ag 3.07-3.14, 2 Ga 3.10-3.11
Ce 0.9901 0.9901 0.7081  1 Ce 2.82, 5 Ag 3.07-3.14, 2 Ga 3.10-3.11
Ga 0.3434 0.3434 0.8608  1 Ga 2.52, 2 Ag 2.69
Ga 0.6566 0.6566 0.1392  1 Ga 2.52, 2 Ag 2.69
Ag 0.3195 0.3195 0.2990  3 Ga 2.69-2.99, 1 Ag 2.92
Ag 0.6805 0.6805 0.7010  3 Ga 2.69-2.99, 1 Ag 2.92